{
  "formula": "In2MoAs",
  "functional": "GGA-PBE",
  "state": "optimized geometry",
  "formation_energy_ev_per_atom": 0.63,
  "lattice_angstrom": [[-3.9508, 3.9508, 2.8516], [3.9508, -3.9508, 2.8516], [3.9508, 3.9508, -2.8516]],
  "species": ["In", "In", "In", "In", "Mo", "Mo", "As", "As"],
  "frac_coords": [[0.1127, 0.1250, 0.4877], [0.3750, 0.8873, 0.0123], [0.6373, 0.6250, 0.5123], [0.8750, 0.3627, 0.9877], [0.2500, 0.7500, 0.5000], [0.5000, 0.5000, 0.0000], [0.0000, 0.0000, 0.0000], [0.7500, 0.2500, 0.5000]]
}

---

{
  "formula": "MnTl2SnTe4",
  "functional": "GGA-PBE",
  "state": "optimized geometry",
  "relative_energy_ev_per_atom": 0.000,
  "formation_energy_uncorrected_kj_per_mol_atoms": -22.15,
  "lattice_angstrom": [[-4.3321, 4.3321, 3.5431], [4.3321, -4.3321, 3.5431], [4.3321, 4.3321, -3.5431]],
  "species": ["Mn", "Tl", "Tl", "Sn", "Te", "Te", "Te", "Te"],
  "frac_coords": [[0.0000, 0.0000, 0.0000], [0.0000, 0.5000, 0.5000], [0.5000, 0.0000, 0.5000], [0.5000, 0.5000, 0.0000], [0.0694, 0.4214, 0.0000], [0.4214, 0.0694, 0.0000], [0.5786, 0.5786, 0.6480], [0.9306, 0.9306, 0.3520]]
}

---

Number 1: magnetization 0.7122 μB/atom, N(E_F) 0.6681 states/eV/atom. Number 2: magnetization 0.6251 μB/atom, N(E_F) 0.0047 states/eV/atom.